(1)
# TcIr8Rh2, optimized geometry, DFT PBE
data_TcIr8Rh2
_chemical_formula_sum 'Tc1 Ir8 Rh2'
_cell_length_a 3.865
_cell_length_b 6.113
_cell_length_c 7.235
_cell_angle_alpha 104.62
_cell_angle_beta 105.49
_cell_angle_gamma 90.00
_space_group_name_H-M_alt 'P 1'
_space_group_IT_number 1
_space_group_name_Hall 'P 1'
loop_
_atom_site_label
_atom_site_fract_x
_atom_site_fract_y
_atom_site_fract_z
Tc1 0.500 0.000 0.000
Ir1 0.591 0.451 0.181
Ir2 0.319 0.090 0.638
Ir3 0.134 0.177 0.268
Ir4 0.044 0.730 0.087
Ir5 0.866 0.823 0.732
Ir6 0.681 0.910 0.362
Ir7 0.409 0.549 0.819
Ir8 0.956 0.270 0.913
Rh1 0.225 0.634 0.451
Rh2 0.775 0.366 0.549
# - SG = C2/m, No. 12

(2)
# Tc2IrRh, optimized geometry, DFT PBE
data_Tc2IrRh
_chemical_formula_sum 'Tc2 Ir1 Rh1'
_cell_length_a 9.067
_cell_length_b 9.067
_cell_length_c 9.067
_cell_angle_alpha 17.36
_cell_angle_beta 17.36
_cell_angle_gamma 17.36
_space_group_name_H-M_alt 'P 1'
_space_group_IT_number 1
_space_group_name_Hall 'P 1'
loop_
_atom_site_label
_atom_site_fract_x
_atom_site_fract_y
_atom_site_fract_z
Ir1 0.501 0.501 0.501
Rh1 0.749 0.749 0.749
Tc1 0.000 0.000 0.000
Tc2 0.250 0.250 0.250
# - E above lowest polymorph (meV per atom) = 191
# - SG = R3m, No. 160

(3)
# Tc2IrRh, optimized geometry, DFT PBE
data_Tc2IrRh
_chemical_formula_sum 'Tc2 Ir1 Rh1'
_cell_length_a 9.001
_cell_length_b 9.001
_cell_length_c 9.001
_cell_angle_alpha 17.53
_cell_angle_beta 17.53
_cell_angle_gamma 17.53
_space_group_name_H-M_alt 'P 1'
_space_group_IT_number 1
_space_group_name_Hall 'P 1'
loop_
_atom_site_label
_atom_site_fract_x
_atom_site_fract_y
_atom_site_fract_z
Ir1 0.250 0.250 0.250
Rh1 0.750 0.750 0.750
Tc1 0.000 0.000 0.000
Tc2 0.500 0.500 0.500
# - E above lowest polymorph (meV per atom) = 172
# - SG = R-3m, No. 166

(4)
# Tc2Ir2Rh5, optimized geometry, DFT PBE
data_Tc2Ir2Rh5
_chemical_formula_sum 'Tc2 Ir2 Rh5'
_cell_length_a 4.049
_cell_length_b 6.496
_cell_length_c 7.015
_cell_angle_alpha 120.57
_cell_angle_beta 90.00
_cell_angle_gamma 108.16
_space_group_name_H-M_alt 'P 1'
_space_group_IT_number 1
_space_group_name_Hall 'P 1'
loop_
_atom_site_label
_atom_site_fract_x
_atom_site_fract_y
_atom_site_fract_z
Tc1 0.443 0.886 0.703
Tc2 0.557 0.114 0.297
Ir1 0.078 0.155 0.722
Ir2 0.922 0.845 0.278
Rh1 0.331 0.662 0.951
Rh2 0.669 0.338 0.049
Rh3 0.190 0.380 0.512
Rh4 0.810 0.620 0.488
Rh5 0.000 0.000 0.000
# - SG = C2/m, No. 12

(5)
# TcIr2Rh8, optimized geometry, DFT PBE
data_TcIr2Rh8
_chemical_formula_sum 'Tc1 Ir2 Rh8'
_cell_length_a 4.098
_cell_length_b 6.497
_cell_length_c 6.497
_cell_angle_alpha 104.29
_cell_angle_beta 90.00
_cell_angle_gamma 90.00
_space_group_name_H-M_alt 'P 1'
_space_group_IT_number 1
_space_group_name_Hall 'P 1'
loop_
_atom_site_label
_atom_site_fract_x
_atom_site_fract_y
_atom_site_fract_z
Tc1 0.500 0.000 0.000
Ir1 0.000 0.621 0.379
Ir2 0.000 0.379 0.621
Rh1 0.000 0.964 0.704
Rh2 0.000 0.704 0.964
Rh3 0.500 0.668 0.668
Rh4 0.500 0.246 0.754
Rh5 0.500 0.754 0.246
Rh6 0.500 0.332 0.332
Rh7 0.000 0.296 0.036
Rh8 0.000 0.036 0.296
# - E above lowest polymorph (meV per atom) = 0
# - SG = Cmmm, No. 65

(6)
# TcIr4Rh, optimized geometry, DFT PBE
data_TcIr4Rh
_chemical_formula_sum 'Tc1 Ir4 Rh1'
_cell_length_a 2.726
_cell_length_b 3.878
_cell_length_c 8.202
_cell_angle_alpha 90.00
_cell_angle_beta 90.00
_cell_angle_gamma 90.00
_space_group_name_H-M_alt 'P 1'
_space_group_IT_number 1
_space_group_name_Hall 'P 1'
loop_
_atom_site_label
_atom_site_fract_x
_atom_site_fract_y
_atom_site_fract_z
Tc1 0.500 0.000 0.500
Ir1 0.000 0.500 0.336
Ir2 0.500 0.000 0.169
Ir3 0.000 0.500 0.664
Ir4 0.500 0.000 0.831
Rh1 0.000 0.500 0.000
# - E above lowest polymorph (meV per atom) = 3
# - SG = Pmmm, No. 47

(7)
# TcIr2Rh4, optimized geometry, DFT PBE
data_TcIr2Rh4
_chemical_formula_sum 'Tc2 Ir4 Rh8'
_cell_length_a 8.883
_cell_length_b 6.783
_cell_length_c 4.995
_cell_angle_alpha 83.59
_cell_angle_beta 130.18
_cell_angle_gamma 113.89
_space_group_name_H-M_alt 'P 1'
_space_group_IT_number 1
_space_group_name_Hall 'P 1'
loop_
_atom_site_label
_atom_site_fract_x
_atom_site_fract_y
_atom_site_fract_z
Tc1 0.769 0.456 0.345
Tc2 0.054 0.068 0.126
Ir1 0.502 0.031 0.991
Ir2 0.457 0.369 0.642
Ir3 0.931 0.171 0.453
Ir4 0.146 0.478 0.025
Rh1 0.738 0.187 0.746
Rh2 0.068 0.856 0.621
Rh3 0.583 0.709 0.372
Rh4 0.238 0.578 0.620
Rh5 0.332 0.901 0.326
Rh6 0.678 0.794 0.972
Rh7 0.352 0.272 0.040
Rh8 0.901 0.629 0.972
# - E above lowest polymorph (meV per atom) = 22
# - SG = P1, No. 1

(8)
# TcIr2Rh3, optimized geometry, DFT PBE
data_TcIr2Rh3
_chemical_formula_sum 'Tc2 Ir4 Rh6'
_cell_length_a 5.022
_cell_length_b 7.141
_cell_length_c 7.141
_cell_angle_alpha 135.60
_cell_angle_beta 89.99
_cell_angle_gamma 89.99
_space_group_name_H-M_alt 'P 1'
_space_group_IT_number 1
_space_group_name_Hall 'P 1'
loop_
_atom_site_label
_atom_site_fract_x
_atom_site_fract_y
_atom_site_fract_z
Tc1 0.250 0.350 0.650
Tc2 0.750 0.650 0.350
Ir1 0.004 0.256 0.252
Ir2 0.504 0.252 0.256
Ir3 0.996 0.744 0.748
Ir4 0.496 0.748 0.744
Rh1 0.750 0.151 0.849
Rh2 0.758 0.076 0.432
Rh3 0.258 0.432 0.076
Rh4 0.742 0.568 0.924
Rh5 0.242 0.924 0.568
Rh6 0.250 0.849 0.151
# - E above lowest polymorph (meV per atom) = 237
# - SG = C2/c, No. 15

(9)
# TcIrRh, optimized geometry, DFT PBE
data_TcIrRh
_chemical_formula_sum 'Tc2 Ir2 Rh2'
_cell_length_a 3.879
_cell_length_b 3.863
_cell_length_c 6.079
_cell_angle_alpha 90.00
_cell_angle_beta 108.60
_cell_angle_gamma 90.00
_space_group_name_H-M_alt 'P 1'
_space_group_IT_number 1
_space_group_name_Hall 'P 1'
loop_
_atom_site_label
_atom_site_fract_x
_atom_site_fract_y
_atom_site_fract_z
Tc1 0.420 0.250 0.840
Tc2 0.580 0.750 0.160
Ir1 0.920 0.750 0.840
Ir2 0.080 0.250 0.160
Rh1 0.752 0.250 0.505
Rh2 0.248 0.750 0.495
# - E above lowest polymorph (meV per atom) = 2
# - SG = Cmcm, No. 63

(10)
# TcIr4Rh, optimized geometry, DFT PBE
data_TcIr4Rh
_chemical_formula_sum 'Tc1 Ir4 Rh1'
_cell_length_a 5.100
_cell_length_b 5.100
_cell_length_c 5.100
_cell_angle_alpha 60.00
_cell_angle_beta 60.00
_cell_angle_gamma 60.00
_space_group_name_H-M_alt 'P 1'
_space_group_IT_number 1
_space_group_name_Hall 'P 1'
loop_
_atom_site_label
_atom_site_fract_x
_atom_site_fract_y
_atom_site_fract_z
Tc1 0.000 0.000 0.000
Ir1 0.625 0.625 0.125
Ir2 0.625 0.125 0.625
Ir3 0.625 0.625 0.625
Ir4 0.125 0.625 0.625
Rh1 0.250 0.250 0.250
# - E above lowest polymorph (meV per atom) = 576
# - SG = F-43m, No. 216

(11)
# TcIrRh5, optimized geometry, DFT PBE
data_TcIrRh5
_chemical_formula_sum 'Tc2 Ir2 Rh10'
_cell_length_a 5.283
_cell_length_b 5.283
_cell_length_c 10.622
_cell_angle_alpha 60.35
_cell_angle_beta 60.35
_cell_angle_gamma 64.33
_space_group_name_H-M_alt 'P 1'
_space_group_IT_number 1
_space_group_name_Hall 'P 1'
loop_
_atom_site_label
_atom_site_fract_x
_atom_site_fract_y
_atom_site_fract_z
Tc1 0.636 0.364 0.250
Tc2 0.364 0.636 0.750
Ir1 0.000 0.000 0.000
Ir2 0.000 0.000 0.500
Rh1 0.554 0.910 0.276
Rh2 0.280 0.449 0.485
Rh3 0.910 0.554 0.776
Rh4 0.082 0.918 0.250
Rh5 0.551 0.720 0.015
Rh6 0.449 0.280 0.985
Rh7 0.918 0.082 0.750
Rh8 0.090 0.446 0.224
Rh9 0.720 0.551 0.515
Rh10 0.446 0.090 0.724
# - SG = C2/c, No. 15

(12)
# Tc2IrRh, optimized geometry, DFT PBE
data_Tc2IrRh
_chemical_formula_sum 'Tc2 Ir1 Rh1'
_cell_length_a 4.696
_cell_length_b 4.696
_cell_length_c 4.696
_cell_angle_alpha 131.06
_cell_angle_beta 131.07
_cell_angle_gamma 71.71
_space_group_name_H-M_alt 'P 1'
_space_group_IT_number 1
_space_group_name_Hall 'P 1'
loop_
_atom_site_label
_atom_site_fract_x
_atom_site_fract_y
_atom_site_fract_z
Ir1 0.500 0.500 0.000
Rh1 0.750 0.250 0.500
Tc1 0.000 0.000 0.000
Tc2 0.250 0.750 0.500
# - E above lowest polymorph (meV per atom) = 130
# - SG = I-4m2, No. 119

(13)
# TcIr4Rh3, optimized geometry, DFT PBE
data_TcIr4Rh3
_chemical_formula_sum 'Tc1 Ir4 Rh3'
_cell_length_a 4.478
_cell_length_b 4.763
_cell_length_c 6.477
_cell_angle_alpha 111.88
_cell_angle_beta 110.22
_cell_angle_gamma 90.00
_space_group_name_H-M_alt 'P 1'
_space_group_IT_number 1
_space_group_name_Hall 'P 1'
loop_
_atom_site_label
_atom_site_fract_x
_atom_site_fract_y
_atom_site_fract_z
Ir1 0.748 0.175 0.496
Ir2 0.252 0.825 0.504
Ir3 0.368 0.432 0.736
Ir4 0.632 0.568 0.264
Rh1 0.000 0.500 0.000
Rh2 0.870 0.813 0.740
Rh3 0.130 0.187 0.260
Tc1 0.500 0.000 0.000
# - E above lowest polymorph (meV per atom) = 0
# - SG = C2/m, No. 12

(14)
# Tc2IrRh, optimized geometry, DFT PBE
data_Tc2IrRh
_chemical_formula_sum 'Tc2 Ir1 Rh1'
_cell_length_a 3.268
_cell_length_b 3.268
_cell_length_c 5.532
_cell_angle_alpha 90.00
_cell_angle_beta 90.00
_cell_angle_gamma 90.00
_space_group_name_H-M_alt 'P 1'
_space_group_IT_number 1
_space_group_name_Hall 'P 1'
loop_
_atom_site_label
_atom_site_fract_x
_atom_site_fract_y
_atom_site_fract_z
Ir1 0.000 0.000 0.503
Rh1 0.500 0.500 0.747
Tc1 0.000 0.000 0.997
Tc2 0.500 0.500 0.253
# - E above lowest polymorph (meV per atom) = 469
# - SG = P4mm, No. 99

(15)
# TcIrRh, optimized geometry, DFT PBE
data_TcIrRh
_chemical_formula_sum 'Tc2 Ir2 Rh2'
_cell_length_a 2.740
_cell_length_b 4.749
_cell_length_c 6.825
_cell_angle_alpha 96.50
_cell_angle_beta 101.58
_cell_angle_gamma 90.00
_space_group_name_H-M_alt 'P 1'
_space_group_IT_number 1
_space_group_name_Hall 'P 1'
loop_
_atom_site_label
_atom_site_fract_x
_atom_site_fract_y
_atom_site_fract_z
Tc1 0.249 0.759 0.498
Tc2 0.751 0.241 0.502
Rh1 0.914 0.638 0.829
Rh2 0.086 0.362 0.171
Ir1 0.414 0.138 0.828
Ir2 0.586 0.862 0.172
# - E above lowest polymorph (meV per atom) = 33
# - SG = C2/m, No. 12

(16)
# Tc2Ir9Rh, optimized geometry, DFT PBE
data_Tc2Ir9Rh
_chemical_formula_sum 'Tc2 Ir9 Rh1'
_cell_length_a 3.870
_cell_length_b 3.870
_cell_length_c 11.603
_cell_angle_alpha 90.00
_cell_angle_beta 90.00
_cell_angle_gamma 90.00
_space_group_name_H-M_alt 'P 1'
_space_group_IT_number 1
_space_group_name_Hall 'P 1'
loop_
_atom_site_label
_atom_site_fract_x
_atom_site_fract_y
_atom_site_fract_z
Tc1 0.000 0.000 0.329
Tc2 0.000 0.000 0.671
Ir1 0.500 0.500 0.000
Ir2 0.500 0.500 0.335
Ir3 0.500 0.500 0.665
Ir4 0.500 0.000 0.170
Ir5 0.500 0.000 0.500
Ir6 0.500 0.000 0.830
Ir7 0.000 0.500 0.170
Ir8 0.000 0.500 0.500
Ir9 0.000 0.500 0.830
Rh1 0.000 0.000 0.000
# - SG = P4/mmm, No. 123

(17)
# TcIr3Rh12, optimized geometry, DFT PBE
data_TcIr3Rh12
_chemical_formula_sum 'Tc1 Ir3 Rh12'
_cell_length_a 3.849
_cell_length_b 3.849
_cell_length_c 15.378
_cell_angle_alpha 90.00
_cell_angle_beta 90.00
_cell_angle_gamma 90.00
_space_group_name_H-M_alt 'P 1'
_space_group_IT_number 1
_space_group_name_Hall 'P 1'
loop_
_atom_site_label
_atom_site_fract_x
_atom_site_fract_y
_atom_site_fract_z
Tc1 0.000 0.000 0.000
Ir1 0.000 0.000 0.252
Ir2 0.000 0.000 0.500
Ir3 0.000 0.000 0.748
Rh1 0.500 0.500 0.000
Rh2 0.500 0.500 0.249
Rh3 0.500 0.500 0.500
Rh4 0.500 0.500 0.751
Rh5 0.500 0.000 0.123
Rh6 0.500 0.000 0.375
Rh7 0.500 0.000 0.625
Rh8 0.500 0.000 0.877
Rh9 0.000 0.500 0.123
Rh10 0.000 0.500 0.375
Rh11 0.000 0.500 0.625
Rh12 0.000 0.500 0.877
# - SG = P4/mmm, No. 123

(18)
# Tc2IrRh, optimized geometry, DFT PBE
data_Tc2IrRh
_chemical_formula_sum 'Tc2 Ir1 Rh1'
_cell_length_a 4.367
_cell_length_b 4.367
_cell_length_c 4.367
_cell_angle_alpha 60.00
_cell_angle_beta 60.00
_cell_angle_gamma 60.00
_space_group_name_H-M_alt 'P 1'
_space_group_IT_number 1
_space_group_name_Hall 'P 1'
loop_
_atom_site_label
_atom_site_fract_x
_atom_site_fract_y
_atom_site_fract_z
Ir1 0.500 0.500 0.500
Rh1 0.750 0.750 0.750
Tc1 0.000 0.000 0.000
Tc2 0.250 0.250 0.250
# - E above lowest polymorph (meV per atom) = 517
# - SG = F-43m, No. 216

(19)
# Tc2IrRh, optimized geometry, DFT PBE
data_Tc2IrRh
_chemical_formula_sum 'Tc2 Ir1 Rh1'
_cell_length_a 2.706
_cell_length_b 2.706
_cell_length_c 7.852
_cell_angle_alpha 90.00
_cell_angle_beta 90.00
_cell_angle_gamma 90.00
_space_group_name_H-M_alt 'P 1'
_space_group_IT_number 1
_space_group_name_Hall 'P 1'
loop_
_atom_site_label
_atom_site_fract_x
_atom_site_fract_y
_atom_site_fract_z
Ir1 0.500 0.500 0.250
Rh1 0.500 0.500 0.750
Tc1 0.000 0.000 0.000
Tc2 0.000 0.000 0.500
# - E above lowest polymorph (meV per atom) = 111
# - SG = P4/mmm, No. 123

(20)
# TcIr6Rh3, optimized geometry, DFT PBE
data_TcIr6Rh3
_chemical_formula_sum 'Tc1 Ir6 Rh3'
_cell_length_a 5.143
_cell_length_b 5.143
_cell_length_c 6.808
_cell_angle_alpha 90.00
_cell_angle_beta 90.00
_cell_angle_gamma 120.00
_space_group_name_H-M_alt 'P 1'
_space_group_IT_number 1
_space_group_name_Hall 'P 1'
loop_
_atom_site_label
_atom_site_fract_x
_atom_site_fract_y
_atom_site_fract_z
Tc1 0.000 0.000 0.000
Ir1 0.575 0.575 0.810
Ir2 0.000 0.425 0.810
Ir3 0.425 0.000 0.810
Ir4 0.000 0.575 0.190
Ir5 0.425 0.425 0.190
Ir6 0.575 0.000 0.190
Rh1 0.000 0.000 0.500
Rh2 0.667 0.333 0.500
Rh3 0.333 0.667 0.500
# - E above lowest polymorph (meV per atom) = 320
# - SG = P-31m, No. 162

no.,N(E_F) (states/eV/atom),energy relative to the elements (eV per atom),E (eV for the cell shown)
1,1.007,-0.071,-96.7
2,1.231,-0.042,-37.1
3,0.965,-0.060,-37.2
4,1.099,0.351,-72.0
5,1.364,0.212,-84.6
6,1.014,-0.083,-53.7
7,1.164,0.082,-113.8
8,1.209,0.153,-98.4
9,0.919,-0.133,-54.0
10,1.334,0.489,-50.2
11,1.294,0.332,-107.3
12,0.975,-0.102,-37.4
13,1.371,0.221,-66.1
14,1.689,0.237,-36.0
15,1.183,-0.103,-53.8
16,1.185,-0.103,-109.1
17,1.160,-0.015,-125.4
18,0.822,0.285,-35.8
19,1.158,-0.122,-37.4
20,1.642,0.389,-81.7